1.
# SrPa2Se6 | the Alexandria database | GGA-PBE | relaxed
# Distance to the lowest polymorph of the same formula ... 0.000 eV per atom
data_SrPa2Se6
_space_group_name_H-M_alt 'C 1 2/c 1'
_space_group_IT_number 15
_space_group_name_Hall '-C 2yc'
_cell_length_a 14.992
_cell_length_b 12.589
_cell_length_c 7.272
_cell_angle_alpha 90.00
_cell_angle_beta 119.00
_cell_angle_gamma 90.00
loop_
_atom_site_label
_atom_site_fract_x
_atom_site_fract_y
_atom_site_fract_z
Sr1 0.000 0.250 0.250
Pa1 0.250 0.083 0.000
Se1 0.132 0.066 0.565
Se2 0.132 0.250 0.014
Se3 0.132 0.434 0.566


2.
# Sr2PaSe4 | the Alexandria database | GGA-PBE | relaxed
# Distance to the lowest polymorph of the same formula ... 0.000 eV per atom
# Density of states at the Fermi level ... 0.701 states/eV per atom
data_Sr2PaSe4
_space_group_name_H-M_alt 'P b a m'
_space_group_IT_number 55
_space_group_name_Hall '-P 2 2ab'
_cell_length_a 7.740
_cell_length_b 12.786
_cell_length_c 4.394
_cell_angle_alpha 90.00
_cell_angle_beta 90.00
_cell_angle_gamma 90.00
loop_
_atom_site_label
_atom_site_fract_x
_atom_site_fract_y
_atom_site_fract_z
Sr1 0.090 0.184 0.000
Pa1 0.000 0.500 0.500
Se1 0.130 0.707 0.500
Se2 0.235 0.453 0.000


3.
# SrPa3Se6 | the Alexandria database | GGA-PBE | relaxed
# E_tot ... -6.3220 eV per atom
# Density of states at the Fermi level ... 1.304 states/eV per atom
data_SrPa3Se6
_space_group_name_H-M_alt 'C m m m'
_space_group_IT_number 65
_space_group_name_Hall '-C 2 2'
_cell_length_a 10.321
_cell_length_b 14.426
_cell_length_c 4.333
_cell_angle_alpha 90.00
_cell_angle_beta 90.00
_cell_angle_gamma 90.00
loop_
_atom_site_label
_atom_site_fract_x
_atom_site_fract_y
_atom_site_fract_z
Sr1 0.000 0.000 0.000
Pa1 0.000 0.500 0.000
Pa2 0.250 0.250 0.500
Se1 0.000 0.161 0.500
Se2 0.207 0.375 0.000


4.
# SrPa2Se4 | the Alexandria database | GGA-PBE | relaxed
# E_tot ... -6.4150 eV per atom
# Density of states at the Fermi level ... 1.252 states/eV per atom
data_SrPa2Se4
_space_group_name_H-M_alt 'C m c m'
_space_group_IT_number 63
_space_group_name_Hall '-C 2c 2'
_cell_length_a 4.139
_cell_length_b 13.373
_cell_length_c 14.259
_cell_angle_alpha 90.00
_cell_angle_beta 90.00
_cell_angle_gamma 90.00
loop_
_atom_site_label
_atom_site_fract_x
_atom_site_fract_y
_atom_site_fract_z
Sr1 0.000 0.108 0.250
Pa1 0.000 0.365 0.061
Se1 0.000 0.000 0.000
Se2 0.000 0.272 0.623
Se3 0.000 0.438 0.250


5.
# Sr2PaTl3Se6 | the Alexandria database | GGA-PBE | relaxed
# E_tot ... -4.6957 eV per atom
data_Sr2PaTl3Se6
_space_group_name_H-M_alt 'C 1 2/m 1'
_space_group_IT_number 12
_space_group_name_Hall '-C 2y'
_cell_length_a 7.641
_cell_length_b 13.184
_cell_length_c 8.060
_cell_angle_alpha 90.00
_cell_angle_beta 108.18
_cell_angle_gamma 90.00
loop_
_atom_site_label
_atom_site_fract_x
_atom_site_fract_y
_atom_site_fract_z
Sr1 0.000 0.166 0.000
Pa1 0.000 0.500 0.000
Tl1 0.000 0.000 0.500
Tl2 0.000 0.333 0.500
Se1 0.221 0.350 0.209
Se2 0.229 0.500 0.783


6.
# SrPaTl2Se4 | the Alexandria database | GGA-PBE | relaxed
# E_tot ... -4.9263 eV per atom
# Density of states at the Fermi level ... 0.649 states/eV per atom
data_SrPaTl2Se4
_space_group_name_H-M_alt 'P 1 2/m 1'
_space_group_IT_number 10
_space_group_name_Hall '-P 2y'
_cell_length_a 7.596
_cell_length_b 4.326
_cell_length_c 8.126
_cell_angle_alpha 90.00
_cell_angle_beta 107.71
_cell_angle_gamma 90.00
loop_
_atom_site_label
_atom_site_fract_x
_atom_site_fract_y
_atom_site_fract_z
Sr1 0.000 0.000 0.000
Pa1 0.500 0.500 0.000
Tl1 0.000 0.500 0.500
Tl2 0.500 0.000 0.500
Se1 0.264 0.500 0.211
Se2 0.285 0.000 0.793


Calculated density values, unit Mg/m³, following the record order: 5.7 5.5 6.5 7.3 6.4 6.8.
Size of the total moment values, unit μB/atom, following the record order: 0.000 0.143 0.417 0.433 0.000 0.126.